{
  "formula": "Pm2PbAuO5",
  "functional": "PBE",
  "state": "optimized geometry",
  "e_form_raw_ev_per_fu": -17.50,
  "sg": "P4/mbm, No. 127",
  "lattice_angstrom": [[-3.7998, -4.8169, -0.4590], [3.4734, -2.2323, -5.3273], [4.0043, -3.5494, 4.0982]],
  "species": ["O", "O", "O", "O", "O", "O", "O", "O", "O", "O", "Pm", "Pm", "Pm", "Pm", "Au", "Au", "Pb", "Pb"],
  "frac_coords": [[0.7376, 0.8544, 0.3544], [0.7376, 0.6456, 0.8544], [0.2624, 0.1456, 0.6456], [0.5000, 0.5000, 0.5000], [0.7376, 0.1456, 0.6456], [0.2624, 0.3544, 0.1456], [0.7376, 0.3544, 0.1456], [0.2624, 0.8544, 0.3544], [0.2624, 0.6456, 0.8544], [0.5000, 0.0000, 0.0000], [0.5000, 0.6721, 0.1721], [0.5000, 0.8279, 0.6721], [0.5000, 0.1721, 0.3279], [0.5000, 0.3279, 0.8279], [0.0000, 0.5000, 0.0000], [0.0000, 0.0000, 0.5000], [0.0000, 0.0000, 0.0000], [0.0000, 0.5000, 0.5000]]
}



{
  "formula": "YTm4MgS8",
  "functional": "PBE",
  "state": "optimized geometry",
  "e_form_raw_ev_per_fu": -26.86,
  "sg": "R3m, No. 160",
  "lattice_angstrom": [[7.8906, 0.0000, 0.0000], [3.9453, 6.8335, 0.0000], [3.9453, 2.2778, 6.4553]],
  "species": ["Y", "Tm", "Tm", "Tm", "Tm", "S", "S", "S", "S", "S", "S", "S", "S", "Mg"],
  "frac_coords": [[0.0025, 0.0025, 0.9925], [0.4919, 0.0027, 0.5028], [0.0027, 0.0027, 0.5028], [0.6252, 0.6252, 0.1243], [0.0027, 0.4919, 0.5028], [0.7556, 0.7556, 0.2622], [0.2477, 0.2477, 0.7417], [0.2265, 0.7556, 0.2622], [0.7585, 0.7585, 0.7245], [0.2477, 0.7628, 0.7417], [0.7556, 0.2265, 0.2622], [0.7628, 0.2477, 0.7417], [0.2454, 0.2454, 0.2639], [0.3751, 0.3751, 0.8746]]
}